Entry 1:
Compound: LaScGa2Ni2
Source: Alexandria
Functional: PBE-GGA
Structure: relaxed

Computed properties:
* ΔE_f: -0.6152 eV/atom
* total energy: -32.57 eV per formula unit

Cell lengths 4.3139, 4.3139, 6.9331 Å; angles 90.00, 90.00, 120.00 degrees
With the nearest neighbours (Å) after each atom.
Space group P-3m1 (No. 164)
Inequivalent atoms, fractional coordinates:
1 La 0.0000 0.0000 0.0000  6 Ga 3.25, 6 Ni 3.28, 2 Sc 3.47
2 Sc 0.0000 0.0000 0.5000  6 Ni 2.83, 6 Ga 2.84
3 Ga 0.3333 0.6667 0.3021  4 Ni 2.49-2.71
4 Ni 0.3333 0.6667 0.6926  4 Ga 2.49-2.71


Entry 2:
Compound: LaSc2GaNi
Source: Alexandria
Functional: PBE-GGA
Structure: relaxed

Computed properties:
* ΔE_f: 0.1419 eV/atom
* total energy: -25.69 eV per formula unit

Cell lengths 5.2028, 5.2028, 4.5084 Å; angles 90.00, 90.00, 90.00 degrees
With the nearest neighbours (Å) after each atom.
Space group P4/mmm (No. 123)
Inequivalent atoms, fractional coordinates:
1 La 0.0000 0.0000 0.0000  8 Sc 3.44, 4 Ni 3.68
2 Sc 0.0000 0.5000 0.5000  2 Ga 2.60
3 Ga 0.5000 0.5000 0.5000  2 Ni 2.25
4 Ni 0.5000 0.5000 0.0000  2 Ga 2.25


Entry 3:
Compound: La2GaNiSe5
Source: Alexandria
Functional: PBE-GGA
Structure: relaxed

Computed properties:
* total energy: -47.43 eV per formula unit
* formation energy from raw total energies: -29.07 kcal/mol of atoms

Cell lengths 4.1385, 18.0187, 11.8457 Å; angles 90.00, 90.00, 90.00 degrees
With the nearest neighbours (Å) after each atom.
Space group Cmc2_1 (No. 36)
Inequivalent atoms, fractional coordinates:
1 La 0.0000 0.1127 0.0000  7 Se 3.05-3.15, 2 Ni 3.14
2 La 0.0000 0.1260 0.6244  1 Ni 3.10, 8 Se 3.11-3.23
3 Ga 0.0000 0.4107 0.7853  4 Se 2.51-2.58
4 Ni 0.0000 0.2592 0.4583  4 Se 2.34-2.41
5 Se 0.0000 0.0438 0.3826  2 Ga 2.51
6 Se 0.0000 0.3015 0.6511  1 Ni 2.41, 1 Ga 2.53
7 Se 0.0000 0.3016 0.9568  2 Ni 2.34
8 Se 0.0000 0.3544 0.3181  1 Ni 2.39
9 Se 0.0000 0.4959 0.6102  1 Ga 2.58


Entry 4:
Compound: LaGa2SiNi4
Source: Alexandria
Functional: PBE-GGA
Structure: relaxed

Computed properties:
* total energy: -43.37 eV per formula unit
* formation energy from raw total energies: -11.08 kcal/mol of atoms

Cell lengths 4.0591, 4.0591, 25.7111 Å; angles 90.00, 90.00, 120.00 degrees
With the nearest neighbours (Å) after each atom.
Space group R-3m (No. 166, hexagonal axes)
Inequivalent atoms, fractional coordinates:
1 La 0.0000 0.0000 0.0000  6 Ni 3.10, 6 Ga 3.33
2 Ga 0.0000 0.0000 0.2412  7 Ni 2.37-2.64
3 Si 0.0000 0.0000 0.5000  8 Ni 2.26-2.45
4 Ni 0.0000 0.0000 0.1393  3 Si 2.45, 4 Ga 2.62-2.64, 3 Ni 2.73
5 Ni 0.0000 0.0000 0.4120  1 Si 2.26, 3 Ga 2.37


Entry 5:
Compound: La2GaSi3Ni12
Source: Alexandria
Functional: PBE-GGA
Structure: relaxed

Computed properties:
* total energy: -101.18 eV per formula unit
* formation energy from raw total energies: -3.40 kcal/mol of atoms

Cell lengths 8.4657, 8.4657, 12.0603 Å; angles 90.00, 90.00, 120.00 degrees
With the nearest neighbours (Å) after each atom.
Space group R-3m (No. 166, hexagonal axes)
Inequivalent atoms, fractional coordinates:
1 La 0.0000 0.0000 0.1400  9 Ni 2.53-2.81
2 Ga 0.0000 0.0000 0.5000  6 Ni 2.37
3 Si 0.0000 0.5000 0.0000  6 Ni 2.31-2.47
4 Ni 0.0124 0.5062 0.1916  1 Si 2.31, 1 Ga 2.37, 3 Ni 2.40-2.43, 1 La 2.53
5 Ni 0.0224 0.5112 0.3910  2 Ni 2.40-2.65, 2 Si 2.47


Entry 6:
Compound: La3Ga2SiNi6
Source: Alexandria
Functional: PBE-GGA
Structure: relaxed

Computed properties:
* total energy: -63.13 eV per formula unit
* formation energy from raw total energies: -4.19 kcal/mol of atoms

Cell lengths 4.9557, 4.9557, 10.0916 Å; angles 90.00, 90.00, 120.00 degrees
With the nearest neighbours (Å) after each atom.
Space group P-3m1 (No. 164)
Inequivalent atoms, fractional coordinates:
1 La 0.0000 0.0000 0.0000  6 La 3.33, 6 Ni 3.57
2 La 0.3333 0.6667 0.8319  6 Ni 2.93, 1 Ga 3.00
3 Ga 0.3333 0.6667 0.5348  9 Ni 2.56-2.86
4 Si 0.0000 0.0000 0.5000  6 Ni 2.29
5 Ni 0.1678 0.3357 0.3233  1 Si 2.29, 4 Ni 2.46-2.50, 1 Ga 2.56